# 1
4
Lattice="4.606 0.000 0.000 2.303 3.989 0.000 2.303 1.330 9.224" Properties=species:S:1:pos:R:3 comment="PBE-GGA RbSrHg2, relaxed" final_energy_ev_per_atom=-1.06 formation_energy_kj_per_mol_atoms=-23.4 space_group="R-3m, No. 166" pbc="T T T"
Rb 4.606 2.659 4.612
Sr 0.000 0.000 0.000
Hg 2.303 1.330 2.045
Hg 6.909 3.989 7.179

---

# 2
12
Lattice="-1.449 0.993 -4.109 1.174 -4.194 1.002 -32.825 -6.816 9.931" Properties=species:S:1:pos:R:3 comment="PBE-GGA RbSrHg, relaxed" final_energy_ev_per_atom=-1.14 formation_energy_kj_per_mol_atoms=-15.5 polymorph_energy_ev_per_fu=0.13 space_group="P-3m1, No. 164" pbc="T T T"
Sr -10.433 -4.693 2.546
Sr -18.657 -4.490 3.066
Sr -22.667 -5.323 4.279
Sr -14.443 -5.526 3.759
Hg -28.897 -6.617 6.164
Hg -13.293 -3.377 1.443
Hg -19.807 -6.640 5.382
Hg -4.203 -3.400 0.661
Rb -7.571 -2.189 -0.288
Rb -30.532 -8.866 8.627
Rb -25.529 -7.828 7.113
Rb -2.568 -1.150 -1.802

---

# 3
4
Lattice="4.539 0.000 0.000 2.270 3.931 0.000 2.270 1.310 9.407" Properties=species:S:1:pos:R:3 comment="PBE-GGA RbSrHg2, relaxed" final_energy_ev_per_atom=-1.05 formation_energy_kj_per_mol_atoms=-23.0 space_group="R3m, No. 160" pbc="T T T"
Hg 2.270 1.310 2.088
Hg 2.270 1.310 7.316
Rb 4.539 2.621 4.723
Sr 6.809 3.931 9.391